Al2BiPbW GGA-PBE relaxed; calculated formation energy = 1.911 eV/atom; magnetic moment = 4.1 μB/f.u.
1.0
5.194 0.000 0.000
0.000 6.008 0.000
0.000 0.000 5.194
W Al Pb Bi
1 2 1 1
Cartesian
2.597 3.004 2.597 W
2.597 0.000 0.000 Al
0.000 0.000 2.597 Al
0.000 0.000 0.000 Pb
0.000 3.004 0.000 Bi